Record 1
Computed, not measured: crystalline KCa2MgBi at its relaxed geometry at the GGA-PBE level of DFT.

For the energy of formation from the pure elements, the calculation gives 0.37 eV per formula unit. Its density of states at the Fermi level is 0.43 states/eV/atom. For the electronic total energy, the calculation gives -10.2 eV for the cell shown.

Cell: 6.120 6.120 5.707 Å, 90.00 90.00 90.00°
Space group P4/mmm (No. 123)
Symmetry-distinct sites (fractional):
K 0.000 0.000 0.000
Ca 0.000 0.500 0.500
Mg 0.500 0.500 0.500
Bi 0.500 0.500 0.000

---

Record 2
Computed, not measured: crystalline SrZn2Ag at its relaxed geometry at the GGA-PBE level of DFT.

For the energy of formation from the pure elements, the calculation gives -0.23 eV per formula unit. Its density of states at the Fermi level is 0.71 states/eV/atom. For the electronic total energy, the calculation gives -14.6 eV for the cell shown.

Cell: 5.026 5.026 7.180 Å, 90.00 90.00 90.00°
Space group I-4m2 (No. 119)
Symmetry-distinct sites (fractional):
Sr 0.000 0.000 0.000
Zn 0.000 0.000 0.500
Zn 0.000 0.500 0.750
Ag 0.000 0.500 0.250

---

Record 3
Computed, not measured: crystalline CaZr3B at its relaxed geometry at the GGA-PBE level of DFT.

For the energy of formation from the pure elements, the calculation gives 12.12 eV per formula unit. Its density of states at the Fermi level is 2.16 states/eV/atom. As for the energy above the lowest structure with this stoichiometry: 2344 meV per atom. For the electronic total energy, the calculation gives -22.2 eV for the cell shown.

Cell: 4.933 4.933 4.933 Å, 90.00 90.00 90.00°
Space group Pm-3m (No. 221)
Symmetry-distinct sites (fractional):
Ca 0.000 0.000 0.000
Zr 0.000 0.000 0.500
B 0.500 0.500 0.500

---

Record 4
Computed, not measured: crystalline Y2Er2Th3 at its relaxed geometry at the GGA-PBE level of DFT.

For the energy of formation from the pure elements, the calculation gives 0.96 eV per formula unit. Its density of states at the Fermi level is 1.47 states/eV/atom. As for the energy above the lowest structure with this stoichiometry: 0 meV per atom. For the electronic total energy, the calculation gives -86.7 eV for the cell shown.

Cell: 17.408 3.469 8.440 Å, 90.00 117.36 90.00°
Space group C2/m (No. 12)
Symmetry-distinct sites (fractional):
Y 0.068 0.000 0.405
Er 0.148 0.500 0.835
Th 0.000 0.500 0.000
Th 0.213 0.500 0.293

---

Record 5
Computed, not measured: crystalline CaYTl4 at its relaxed geometry at the GGA-PBE level of DFT.

For the energy of formation from the pure elements, the calculation gives -1.42 eV per formula unit. Its density of states at the Fermi level is 0.66 states/eV/atom. As for the energy above the lowest structure with this stoichiometry: 0 meV per atom. For the electronic total energy, the calculation gives -19.3 eV for the cell shown.

Cell: 4.991 5.087 7.804 Å, 88.55 89.40 61.41°
Space group P-1 (No. 2)
Symmetry-distinct sites (fractional):
Ca 0.000 0.000 0.000
Y 0.000 0.000 0.500
Tl 0.333 0.332 0.670
Tl 0.334 0.334 0.191

---

Record 6
Computed, not measured: crystalline ZrAgPb at its relaxed geometry at the GGA-PBE level of DFT.

For the energy of formation from the pure elements, the calculation gives 0.04 eV per formula unit. Its density of states at the Fermi level is 0.57 states/eV/atom. For the electronic total energy, the calculation gives -15.1 eV for the cell shown.

Cell: 4.7943 4.7943 3.3471 Å, 90.00 90.00 120.00°
Space group P3m1 (No. 156)
Symmetry-distinct sites (fractional):
Zr 0.0000 0.0000 0.0000
Ag 0.6667 0.3333 0.3909
Pb 0.3333 0.6667 0.5707

---

Record 7
Computed, not measured: crystalline TmAlAu at its relaxed geometry at the GGA-PBE level of DFT.

For the energy of formation from the pure elements, the calculation gives -1.65 eV per formula unit. Its density of states at the Fermi level is 0.67 states/eV/atom. For the electronic total energy, the calculation gives -26.3 eV for the cell shown.

Cell: 3.336 3.336 10.953 Å, 90.00 90.00 90.00°
Space group I4mm (No. 107)
Symmetry-distinct sites (fractional):
Tm 0.000 0.000 0.000
Al 0.000 0.000 0.691
Au 0.000 0.000 0.320

---

Record 8
Computed, not measured: crystalline Ba4ThSe6 at its relaxed geometry at the GGA-PBE level of DFT.

The formation energy from raw total energies comes out at -1.9754 eV/atom. Its density of states at the Fermi level is 0.00 states/eV/atom. For the electronic total energy, the calculation gives -346.5 eV for the cell shown.

Cell: 12.8984 12.8984 15.9455 Å, 90.00 90.00 120.00°
Space group R-3c (No. 167, hexagonal axes)
Symmetry-distinct sites (fractional):
Ba 0.0000 0.0000 0.2500
Ba 0.0000 0.3740 0.2500
Th 0.0000 0.0000 0.0000
Se 0.0278 0.1957 0.3936